1.
# GGA-PBE Ho5GaFe2, relaxed
data_Ho5GaFe2
_cell_length_a 7.293
_cell_length_b 7.293
_cell_length_c 13.980
_cell_angle_alpha 90.00
_cell_angle_beta 90.00
_cell_angle_gamma 90.00
_symmetry_space_group_name_H-M 'I 4/m c m'
_symmetry_Int_Tables_number 140
_symmetry_space_group_name_Hall '-I 4 2c'
loop_
_atom_site_label
_atom_site_type_symbol
_atom_site_fract_x
_atom_site_fract_y
_atom_site_fract_z
Ho1 Ho 0.000 0.000 0.000
Ho2 Ho 0.176 0.324 0.137
Ga1 Ga 0.000 0.000 0.250
Fe1 Fe 0.106 0.394 0.500
# - DFT total energy (eV per atom) = -5.532
# - formation enthalpy at 0 K (meV per atom) = -176.7

=====

2.
# GGA-PBE Na2SO3, relaxed
data_Na2SO3
_cell_length_a 5.5256
_cell_length_b 5.5256
_cell_length_c 6.2187
_cell_angle_alpha 90.00
_cell_angle_beta 90.00
_cell_angle_gamma 120.00
_symmetry_space_group_name_H-M 'P -3'
_symmetry_Int_Tables_number 147
loop_
_symmetry_equiv_pos_as_xyz
'x,y,z'
'-x,-y,-z'
'-y,x-y,z'
'y,-x+y,-z'
'-x+y,-x,z'
'x-y,x,-z'
loop_
_atom_site_label
_atom_site_type_symbol
_atom_site_fract_x
_atom_site_fract_y
_atom_site_fract_z
Na1 Na 0.0000 0.0000 0.0000
Na2 Na 0.0000 0.0000 0.5000
Na3 Na 0.3333 0.6667 0.1632
S1 S 0.3333 0.6667 0.6669
O1 O 0.1189 0.3831 0.7671
# - DFT total energy (eV per atom) = -5.284
# - ΔE_f (raw) (eV/atom) = -1.677
# - polymorph energy (0 for the lowest one) (meV per atom) = 0

=====

3.
# GGA-PBE Cd2MoIr, relaxed
data_Cd2MoIr
_cell_length_a 3.933
_cell_length_b 3.933
_cell_length_c 4.543
_cell_angle_alpha 90.00
_cell_angle_beta 90.00
_cell_angle_gamma 90.00
_symmetry_space_group_name_H-M 'P 4/m m m'
_symmetry_Int_Tables_number 123
_symmetry_space_group_name_Hall '-P 4 2'
loop_
_atom_site_label
_atom_site_type_symbol
_atom_site_fract_x
_atom_site_fract_y
_atom_site_fract_z
Cd1 Cd 0.000 0.500 0.000
Mo1 Mo 0.000 0.000 0.500
Ir1 Ir 0.500 0.500 0.500
# - DFT total energy (eV per atom) = -4.944
# - polymorph energy (0 for the lowest one) (meV per atom) = 422
# - formation enthalpy at 0 K (meV per atom) = 436.7

=====

4.
# GGA-PBE Co2SbBr, relaxed
data_Co2SbBr
_cell_length_a 4.522
_cell_length_b 4.539
_cell_length_c 6.591
_cell_angle_alpha 90.00
_cell_angle_beta 90.00
_cell_angle_gamma 90.00
_symmetry_space_group_name_H-M 'C m m m'
_symmetry_Int_Tables_number 65
_symmetry_space_group_name_Hall '-C 2 2'
loop_
_atom_site_label
_atom_site_type_symbol
_atom_site_fract_x
_atom_site_fract_y
_atom_site_fract_z
Co1 Co 0.000 0.000 0.202
Sb1 Sb 0.000 0.500 0.000
Br1 Br 0.000 0.500 0.500
# - DFT total energy (eV per atom) = -4.519
# - ΔE_f (raw) (eV/atom) = 0.483
# - polymorph energy (0 for the lowest one) (meV per atom) = 368

=====

5.
# GGA-PBE DyAuBr6, relaxed
data_DyAuBr6
_cell_length_a 5.909
_cell_length_b 7.301
_cell_length_c 8.002
_cell_angle_alpha 67.94
_cell_angle_beta 72.08
_cell_angle_gamma 86.13
_symmetry_space_group_name_H-M 'P -1'
_symmetry_Int_Tables_number 2
loop_
_symmetry_equiv_pos_as_xyz
'x,y,z'
'-x,-y,-z'
loop_
_atom_site_label
_atom_site_type_symbol
_atom_site_fract_x
_atom_site_fract_y
_atom_site_fract_z
Dy1 Dy 0.000 0.000 0.000
Au1 Au 0.500 0.500 0.000
Br1 Br 0.024 0.810 0.354
Br2 Br 0.281 0.370 0.837
Br3 Br 0.413 0.838 0.807
# - DFT total energy (eV per atom) = -3.155
# - ΔE_f (raw) (eV/atom) = -0.916

=====

6.
# GGA-PBE Y5NiSe4, relaxed
data_Y5NiSe4
_cell_length_a 9.098
_cell_length_b 9.098
_cell_length_c 5.802
_cell_angle_alpha 90.00
_cell_angle_beta 90.00
_cell_angle_gamma 90.00
_symmetry_space_group_name_H-M 'I 4/m'
_symmetry_Int_Tables_number 87
_symmetry_space_group_name_Hall '-I 4'
loop_
_atom_site_label
_atom_site_type_symbol
_atom_site_fract_x
_atom_site_fract_y
_atom_site_fract_z
Y1 Y 0.000 0.000 0.000
Y2 Y 0.096 0.719 0.500
Ni1 Ni 0.000 0.000 0.500
Se1 Se 0.092 0.694 0.000
# - DFT total energy (eV per atom) = -6.706
# - ΔE_f (raw) (eV/atom) = -1.502

=====

7.
# GGA-PBE Ca2ZnSi3Au4, relaxed
data_Ca2ZnSi3Au4
_cell_length_a 4.321
_cell_length_b 4.321
_cell_length_c 10.500
_cell_angle_alpha 90.00
_cell_angle_beta 90.00
_cell_angle_gamma 90.00
_symmetry_space_group_name_H-M 'P -4 m 2'
_symmetry_Int_Tables_number 115
loop_
_symmetry_equiv_pos_as_xyz
'x,y,z'
'y,-x,-z'
'-x,-y,z'
'-y,x,-z'
'-x,y,z'
'-y,-x,-z'
'x,-y,z'
'y,x,-z'
loop_
_atom_site_label
_atom_site_type_symbol
_atom_site_fract_x
_atom_site_fract_y
_atom_site_fract_z
Ca1 Ca 0.000 0.500 0.247
Zn1 Zn 0.000 0.000 0.500
Si1 Si 0.000 0.500 0.867
Si2 Si 0.500 0.500 0.500
Au1 Au 0.000 0.000 0.000
Au2 Au 0.000 0.500 0.636
Au3 Au 0.500 0.500 0.000
# - DFT total energy (eV per atom) = -3.940
# - ΔE_f (raw) (eV/atom) = -0.474

=====

8.
# GGA-PBE ScCd2As, relaxed
data_ScCd2As
_cell_length_a 3.2272
_cell_length_b 3.2272
_cell_length_c 29.5765
_cell_angle_alpha 90.00
_cell_angle_beta 90.00
_cell_angle_gamma 120.00
_symmetry_space_group_name_H-M 'R -3 m'
_symmetry_Int_Tables_number 166
_symmetry_space_group_name_Hall '-R 3 2"'
loop_
_atom_site_label
_atom_site_type_symbol
_atom_site_fract_x
_atom_site_fract_y
_atom_site_fract_z
Sc1 Sc 0.0000 0.0000 0.0000
Cd1 Cd 0.0000 0.0000 0.2483
As1 As 0.0000 0.0000 0.5000
# - DFT total energy (eV per atom) = -3.178
# - formation enthalpy at 0 K (meV per atom) = 25.1

=====

9.
# GGA-PBE FeMo2Se, relaxed
data_FeMo2Se
_cell_length_a 3.709
_cell_length_b 3.709
_cell_length_c 8.593
_cell_angle_alpha 90.00
_cell_angle_beta 90.00
_cell_angle_gamma 90.00
_symmetry_space_group_name_H-M 'I -4 m 2'
_symmetry_Int_Tables_number 119
_symmetry_space_group_name_Hall 'I -4 -2'
loop_
_atom_site_label
_atom_site_type_symbol
_atom_site_fract_x
_atom_site_fract_y
_atom_site_fract_z
Fe1 Fe 0.000 0.000 0.000
Mo1 Mo 0.000 0.000 0.500
Mo2 Mo 0.000 0.500 0.750
Se1 Se 0.000 0.500 0.250
# - DFT total energy (eV per atom) = -7.989
# - ΔE_f (raw) (eV/atom) = 0.413

=====

10.
# GGA-PBE Sr2GeF, relaxed
data_Sr2GeF
_cell_length_a 4.2173
_cell_length_b 4.2173
_cell_length_c 21.0678
_cell_angle_alpha 90.00
_cell_angle_beta 90.00
_cell_angle_gamma 120.00
_symmetry_space_group_name_H-M 'R -3 m'
_symmetry_Int_Tables_number 166
_symmetry_space_group_name_Hall '-R 3 2"'
loop_
_atom_site_label
_atom_site_type_symbol
_atom_site_fract_x
_atom_site_fract_y
_atom_site_fract_z
Sr1 Sr 0.0000 0.0000 0.2427
Ge1 Ge 0.0000 0.0000 0.0000
F1 F 0.0000 0.0000 0.5000
# - DFT total energy (eV per atom) = -3.982
# - ΔE_f (raw) (eV/atom) = -1.519
# - polymorph energy (0 for the lowest one) (meV per atom) = 158

=====

11.
# GGA-PBE Be3Tl2, relaxed
data_Be3Tl2
_cell_length_a 13.166
_cell_length_b 17.269
_cell_length_c 3.025
_cell_angle_alpha 90.00
_cell_angle_beta 90.00
_cell_angle_gamma 90.00
_symmetry_space_group_name_H-M 'F d d 2'
_symmetry_Int_Tables_number 43
_symmetry_space_group_name_Hall 'F 2 -2d'
loop_
_atom_site_label
_atom_site_type_symbol
_atom_site_fract_x
_atom_site_fract_y
_atom_site_fract_z
Be1 Be 0.000 0.000 0.000
Be2 Be 0.113 0.032 0.504
Tl1 Tl 0.049 0.162 0.131
# - DFT total energy (eV per atom) = -2.513
# - polymorph energy (0 for the lowest one) (meV per atom) = 400
# - formation enthalpy at 0 K (meV per atom) = 668.9

=====

12.
# GGA-PBE TmHgPd2, relaxed
data_TmHgPd2
_cell_length_a 4.444
_cell_length_b 4.444
_cell_length_c 3.859
_cell_angle_alpha 90.00
_cell_angle_beta 90.00
_cell_angle_gamma 90.00
_symmetry_space_group_name_H-M 'P 4/m m m'
_symmetry_Int_Tables_number 123
_symmetry_space_group_name_Hall '-P 4 2'
loop_
_atom_site_label
_atom_site_type_symbol
_atom_site_fract_x
_atom_site_fract_y
_atom_site_fract_z
Tm1 Tm 0.000 0.000 0.000
Hg1 Hg 0.500 0.500 0.000
Pd1 Pd 0.000 0.500 0.500
# - DFT total energy (eV per atom) = -4.441
# - formation enthalpy at 0 K (meV per atom) = -651.0

=====

13.
# GGA-PBE K2BeSiS4, relaxed
data_K2BeSiS4
_cell_length_a 6.676
_cell_length_b 6.676
_cell_length_c 8.263
_cell_angle_alpha 90.00
_cell_angle_beta 90.00
_cell_angle_gamma 90.00
_symmetry_space_group_name_H-M 'I -4'
_symmetry_Int_Tables_number 82
loop_
_symmetry_equiv_pos_as_xyz
'x,y,z'
'y,-x,-z'
'-x,-y,z'
'-y,x,-z'
'x+1/2,y+1/2,z+1/2'
'y+1/2,-x+1/2,-z+1/2'
'-x+1/2,-y+1/2,z+1/2'
'-y+1/2,x+1/2,-z+1/2'
loop_
_atom_site_label
_atom_site_type_symbol
_atom_site_fract_x
_atom_site_fract_y
_atom_site_fract_z
K1 K 0.000 0.000 0.000
K2 K 0.000 0.500 0.250
Be1 Be 0.000 0.000 0.500
Si1 Si 0.000 0.500 0.750
S1 S 0.132 0.745 0.617
# - DFT total energy (eV per atom) = -4.527
# - ΔE_f (raw) (eV/atom) = -1.045

=====

14.
# GGA-PBE SmAlFe2H8, relaxed
data_SmAlFe2H8
_cell_length_a 4.3872
_cell_length_b 4.3872
_cell_length_c 6.4794
_cell_angle_alpha 90.00
_cell_angle_beta 90.00
_cell_angle_gamma 120.00
_symmetry_space_group_name_H-M 'P -3 m 1'
_symmetry_Int_Tables_number 164
_symmetry_space_group_name_Hall '-P 3 2"'
loop_
_atom_site_label
_atom_site_type_symbol
_atom_site_fract_x
_atom_site_fract_y
_atom_site_fract_z
Sm1 Sm 0.0000 0.0000 0.0000
Al1 Al 0.0000 0.0000 0.5000
Fe1 Fe 0.3333 0.6667 0.3559
H1 H 0.1453 0.2906 0.2872
H2 H 0.3333 0.6667 0.1111
# - DFT total energy (eV per atom) = -4.291

=====

15.
# GGA-PBE LaCr2Au, relaxed
data_LaCr2Au
_cell_length_a 3.3025
_cell_length_b 3.3025
_cell_length_c 28.3061
_cell_angle_alpha 90.00
_cell_angle_beta 90.00
_cell_angle_gamma 120.00
_symmetry_space_group_name_H-M 'R -3 m'
_symmetry_Int_Tables_number 166
_symmetry_space_group_name_Hall '-R 3 2"'
loop_
_atom_site_label
_atom_site_type_symbol
_atom_site_fract_x
_atom_site_fract_y
_atom_site_fract_z
La1 La 0.0000 0.0000 0.0000
Cr1 Cr 0.0000 0.0000 0.2385
Au1 Au 0.0000 0.0000 0.5000
# - DFT total energy (eV per atom) = -6.205
# - polymorph energy (0 for the lowest one) (meV per atom) = 596
# - formation enthalpy at 0 K (meV per atom) = 657.6

=====

16.
# GGA-PBE Ac2PtAu, relaxed
data_Ac2PtAu
_cell_length_a 4.4553
_cell_length_b 4.4553
_cell_length_c 22.2151
_cell_angle_alpha 90.00
_cell_angle_beta 90.00
_cell_angle_gamma 120.00
_symmetry_space_group_name_H-M 'R -3 m'
_symmetry_Int_Tables_number 166
_symmetry_space_group_name_Hall '-R 3 2"'
loop_
_atom_site_label
_atom_site_type_symbol
_atom_site_fract_x
_atom_site_fract_y
_atom_site_fract_z
Ac1 Ac 0.0000 0.0000 0.2440
Pt1 Pt 0.0000 0.0000 0.5000
Au1 Au 0.0000 0.0000 0.0000
# - DFT total energy (eV per atom) = -5.401
# - formation enthalpy at 0 K (meV per atom) = -1017.1

=====

17.
# GGA-PBE NaSr2LiP, relaxed
data_NaSr2LiP
_cell_length_a 6.028
_cell_length_b 6.028
_cell_length_c 4.930
_cell_angle_alpha 90.00
_cell_angle_beta 90.00
_cell_angle_gamma 90.00
_symmetry_space_group_name_H-M 'P 4/m m m'
_symmetry_Int_Tables_number 123
_symmetry_space_group_name_Hall '-P 4 2'
loop_
_atom_site_label
_atom_site_type_symbol
_atom_site_fract_x
_atom_site_fract_y
_atom_site_fract_z
Na1 Na 0.000 0.000 0.000
Sr1 Sr 0.000 0.500 0.500
Li1 Li 0.500 0.500 0.000
P1 P 0.500 0.500 0.500
# - DFT total energy (eV per atom) = -2.841
# - formation enthalpy at 0 K (meV per atom) = -439.9

=====

18.
# GGA-PBE ZnHg2Mo, relaxed
data_ZnHg2Mo
_cell_length_a 10.919
_cell_length_b 2.922
_cell_length_c 5.236
_cell_angle_alpha 90.00
_cell_angle_beta 117.53
_cell_angle_gamma 90.00
_symmetry_space_group_name_H-M 'C 1 m 1'
_symmetry_Int_Tables_number 8
loop_
_symmetry_equiv_pos_as_xyz
'x,y,z'
'x,-y,z'
'x+1/2,y+1/2,z'
'x+1/2,-y+1/2,z'
loop_
_atom_site_label
_atom_site_type_symbol
_atom_site_fract_x
_atom_site_fract_y
_atom_site_fract_z
Zn1 Zn 0.000 0.000 0.000
Hg1 Hg 0.239 0.000 0.901
Hg2 Hg 0.474 0.000 0.476
Mo1 Mo 0.225 0.500 0.404
# - DFT total energy (eV per atom) = -2.778
# - formation enthalpy at 0 K (meV per atom) = 398.7

=====

19.
# GGA-PBE Ti4BiO, relaxed
data_Ti4BiO
_cell_length_a 4.564
_cell_length_b 14.407
_cell_length_c 5.819
_cell_angle_alpha 90.00
_cell_angle_beta 90.00
_cell_angle_gamma 90.00
_symmetry_space_group_name_H-M 'C m c 21'
_symmetry_Int_Tables_number 36
loop_
_symmetry_equiv_pos_as_xyz
'x,y,z'
'-x,-y,z+1/2'
'-x,y,z'
'x,-y,z+1/2'
'x+1/2,y+1/2,z'
'-x+1/2,-y+1/2,z+1/2'
'-x+1/2,y+1/2,z'
'x+1/2,-y+1/2,z+1/2'
loop_
_atom_site_label
_atom_site_type_symbol
_atom_site_fract_x
_atom_site_fract_y
_atom_site_fract_z
Ti1 Ti 0.000 0.013 0.000
Ti2 Ti 0.000 0.189 0.436
Ti3 Ti 0.000 0.212 0.928
Ti4 Ti 0.000 0.390 0.205
Bi1 Bi 0.000 0.393 0.701
O1 O 0.000 0.100 0.715
# - DFT total energy (eV per atom) = -7.568
# - ΔE_f (raw) (eV/atom) = -0.831

=====

20.
# GGA-PBE Cs2TlCu2Cl7, relaxed
data_Cs2TlCu2Cl7
_cell_length_a 7.104
_cell_length_b 7.103
_cell_length_c 13.588
_cell_angle_alpha 90.00
_cell_angle_beta 105.09
_cell_angle_gamma 90.00
_symmetry_space_group_name_H-M 'C 1 2/m 1'
_symmetry_Int_Tables_number 12
loop_
_symmetry_equiv_pos_as_xyz
'x,y,z'
'-x,-y,-z'
'-x,y,-z'
'x,-y,z'
'x+1/2,y+1/2,z'
'-x+1/2,-y+1/2,-z'
'-x+1/2,y+1/2,-z'
'x+1/2,-y+1/2,z'
loop_
_atom_site_label
_atom_site_type_symbol
_atom_site_fract_x
_atom_site_fract_y
_atom_site_fract_z
Cs1 Cs 0.179 0.000 0.360
Tl1 Tl 0.000 0.000 0.000
Cu1 Cu 0.090 0.500 0.181
Cl1 Cl 0.000 0.500 0.000
Cl2 Cl 0.163 0.250 0.826
Cl3 Cl 0.181 0.500 0.362
# - DFT total energy (eV per atom) = -3.178
# - ΔE_f (raw) (eV/atom) = -1.079